Computed, not measured: LiTmMnF6 after structural relaxation at the PBE with a Hubbard U level of DFT.

a b c (Å): 5.380 5.380 9.402
angles (deg): 90.00 90.00 120.00
Fractional coordinates of all 18 atoms:
Li 0.333 0.667 0.250
Li 0.667 0.333 0.750
Tm 0.333 0.667 0.750
Tm 0.667 0.333 0.250
Mn 0.000 0.000 0.000
Mn 0.000 0.000 0.500
F 0.010 0.338 0.130
F 0.010 0.672 0.370
F 0.328 0.338 0.370
F 0.328 0.990 0.130
F 0.338 0.010 0.630
F 0.338 0.328 0.870
F 0.662 0.672 0.130
F 0.662 0.990 0.370
F 0.672 0.010 0.870
F 0.672 0.662 0.630
F 0.990 0.328 0.630
F 0.990 0.662 0.870

Its crystal system is trigonal. For the mass density, the calculation gives 4.9 g/cm³. For the total energy, the calculation gives -6.154 eV/atom.